Entry 1:
Material: MgPt2RhF
Method: DFT, PBE
State: optimized geometry

Results
symmetry = P4/mmm
Fermi-level density of states = 5.584 states/eV per cell
mass density = 7747 kg/m³
uncorrected energy = -20.2 eV/f.u.

a b c (Å): 4.7391 4.7391 5.1190
angles (deg): 90.00 90.00 90.00
Positions (direct):
Mg 0.0000 0.0000 0.0000
Pt 0.0000 0.5000 0.5000
Pt 0.5000 0.0000 0.5000
Rh 0.0000 0.0000 0.5000
F 0.5000 0.5000 0.0000

Entry 2:
Material: Cd2AgHg
Method: DFT, PBE
State: optimized geometry

Results
symmetry = R3m
Fermi-level density of states = 1.573 states/eV per cell
mass density = 9400 kg/m³
formation enthalpy at 0 K = 0.0675 eV/atom
uncorrected energy = -4.7 eV/f.u.

a b c (Å): 5.5716 5.5716 5.5716
angles (deg): 50.27 50.27 50.27
Positions (direct):
Cd 0.0000 0.0000 0.0000
Cd 0.2074 0.2074 0.2074
Ag 0.6216 0.6216 0.6216
Hg 0.4252 0.4252 0.4252

- uncorrected energy of number 1 (MgPt2RhF)?
  -20.2 eV/f.u.

- Which of these has the highest Fermi-level density of states?
  MgPt2RhF

- Which value of Fermi-level density of states does entry 2 give?
  1.573 states/eV per cell

- Which value of uncorrected energy does entry 2 give?
  -4.7 eV/f.u.